(1)
Th3Cu11 after structural relaxation. Source: the Alexandria database, functional PBE.

a = 4.2269 Å, b = 7.9389 Å, c = 7.9389 Å
α = 68.03°, β = 74.56°, γ = 74.56°
With the nearest neighbours (Å) after each atom.
Sites, in units of the cell vectors:
Th  0.0000  0.0000  0.0000  4 Cu 2.90
Th  0.3081  0.6919  0.6919  14 Cu 2.99-3.19
Th  0.6919  0.3081  0.3081  14 Cu 2.99-3.19
Cu  0.6730  0.6834  0.9706  5 Cu 2.51-2.66
Cu  0.8794  0.3999  0.8414  6 Cu 2.47-2.66
Cu  0.6730  0.9706  0.6834  5 Cu 2.51-2.66
Cu  0.5000  0.2884  0.7116  6 Cu 2.51-2.60
Cu  0.1206  0.1586  0.6001  6 Cu 2.47-2.66
Cu  0.0000  0.5000  0.5000  4 Cu 2.47
Cu  0.8794  0.8414  0.3999  6 Cu 2.47-2.66
Cu  0.5000  0.7116  0.2884  6 Cu 2.51-2.60
Cu  0.3270  0.0294  0.3166  5 Cu 2.51-2.66
Cu  0.1206  0.6001  0.1586  6 Cu 2.47-2.66
Cu  0.3270  0.3166  0.0294  5 Cu 2.51-2.66

Properties
As for the total energy: -69.430 eV for the cell shown. The volume comes out at 234 Å³ per cell. The calculation puts the formation energy at -0.1509 eV per atom.

---

(2)
AlRu2I2 after structural relaxation. Source: the Alexandria database, functional PBE.

a = 4.2155 Å, b = 4.2155 Å, c = 7.3222 Å
α = 73.27°, β = 73.27°, γ = 90.00°
With the nearest neighbours (Å) after each atom.
Sites, in units of the cell vectors:
I  0.3652  0.3652  0.2696  4 Ru 2.61
I  0.6348  0.6348  0.7304  4 Ru 2.61
Ru  0.7500  0.2500  0.5000  4 I 2.61
Ru  0.2500  0.7500  0.5000  4 I 2.61
Al  0.0000  0.0000  0.0000  8 I 3.48

Properties
As for the total energy: -21.552 eV for the cell shown. The volume comes out at 119 Å³ per cell. The calculation puts the polymorph energy (0 for the lowest one) at 0.0000 eV per atom. The uncorrected formation energy is 0.768 eV/atom.